No. 1
4
Lattice="-0.311 1.576 -2.186 -1.106 -1.016 -2.258 -8.599 2.599 1.414" Properties=species:S:1:pos:R:3 comment="ZrCo2Mo | Alexandria via LeMat-Bulk | GGA-PBEsol | optimized geometry" e_form_ev_per_atom=0.368 energy_ev_per_atom=-8.71 polymorph_energy_kj_per_mol_atoms=36.4 mass_density_g_cm3=8.876 crystal_system=trigonal pbc="T T T"
Co -7.639 2.407 -2.227
Zr -2.364 0.748 -0.807
Co -8.344 2.524 1.323
Mo -5.275 1.659 -1.420

No. 2
4
Lattice="-1.423 1.765 2.303 -0.206 -2.620 1.881 5.720 1.346 2.502" Properties=species:S:1:pos:R:3 comment="Zr2CoMo | Alexandria via LeMat-Bulk | GGA-PBEsol | optimized geometry" e_form_ev_per_atom=-0.142 energy_ev_per_atom=-9.56 mass_density_g_cm3=8.398 crystal_system=tetragonal pbc="T T T"
Zr 1.380 0.325 0.604
Co -0.814 -0.427 2.092
Zr 4.340 1.021 1.898
Mo 2.046 0.246 3.343

No. 3
6
Lattice="-2.939 -1.963 3.731 1.897 -3.599 3.141 1.036 1.253 5.015" Properties=species:S:1:pos:R:3 comment="Zr2CoMo3 | Alexandria via LeMat-Bulk | GGA-PBEsol | optimized geometry" e_form_ev_per_atom=-0.128 energy_ev_per_atom=-10.33 mass_density_g_cm3=8.814 crystal_system=trigonal pbc="T T T"
Mo -1.470 -0.981 1.866
Co -0.003 -2.154 5.944
Zr -0.515 -4.378 7.911
Mo -0.521 -2.781 3.436
Zr 0.509 0.069 3.977
Mo 0.949 -1.799 1.570

No. 4
4
Lattice="2.762 0.000 0.040 0.000 3.555 0.000 -0.094 0.000 5.622" Properties=species:S:1:pos:R:3 comment="ZrCo2Mo | Alexandria via LeMat-Bulk | GGA-PBEsol | optimized geometry" e_form_ev_per_atom=-0.009 energy_ev_per_atom=-9.09 polymorph_energy_kj_per_mol_atoms=0.0 mass_density_g_cm3=9.174 crystal_system=monoclinic pbc="T T T"
Mo 1.381 1.778 0.020
Co 2.740 0.000 1.295
Zr 1.334 1.778 2.831
Co -0.072 0.000 4.367